Compound: VBiO4
Source: Alexandria via LeMat-Bulk
Functional: PBE+U
Structure: optimized geometry

a = 5.432 Å, b = 5.432 Å, c = 7.447 Å
α = 90.00°, β = 90.00°, γ = 113.26°
Sites, in units of the cell vectors:
V  0.141  0.859  0.750
V  0.859  0.141  0.250
Bi  0.500  0.500  0.000
Bi  0.500  0.500  0.500
O  0.219  0.281  0.250
O  0.248  0.752  0.562
O  0.248  0.752  0.938
O  0.281  0.219  0.750
O  0.719  0.781  0.250
O  0.752  0.248  0.062
O  0.752  0.248  0.438
O  0.781  0.719  0.750

SG: Cmcm, No. 63
V, A^3/atom: 16.83
Electronic total energy, eV per atom: -6.85